1.
First-principles (GGA-PBE) data for a relaxed structure of UZn17In, as listed in Alexandria via LeMat-Bulk.

Unit cell a=6.844 b=6.844 c=6.844 alpha=82.23 beta=82.23 gamma=82.23
Site moments in Bohr magnetons follow the coordinates.
Sites, in units of the cell vectors:
Zn (0.901, 0.901, 0.901)  0.00
Zn (0.350, 0.350, 0.849)  0.00
Zn (0.350, 0.849, 0.350)  0.00
Zn (0.002, 0.692, 0.297)  0.00
Zn (0.103, 0.103, 0.103)  0.00
Zn (0.692, 0.002, 0.297)  0.00
Zn (0.986, 0.503, 0.986)  0.00
U (0.661, 0.661, 0.661)  2.50
Zn (0.297, 0.692, 0.002)  0.00
Zn (0.160, 0.650, 0.650)  0.00
Zn (0.849, 0.350, 0.350)  0.00
Zn (0.692, 0.297, 0.002)  0.00
Zn (0.503, 0.986, 0.986)  0.00
Zn (0.650, 0.160, 0.650)  0.00
Zn (0.986, 0.986, 0.503)  0.00
In (0.371, 0.371, 0.371)  -0.01
Zn (0.650, 0.650, 0.160)  0.00
Zn (0.002, 0.297, 0.692)  0.00
Zn (0.297, 0.002, 0.692)  0.00

Results
DFT formation energy: -0.001 eV/atom

---

2.
First-principles (GGA-PBE) data for a relaxed structure of ZrUIn, as listed in Alexandria via LeMat-Bulk.

Unit cell a=4.248 b=4.248 c=7.849 alpha=97.97 beta=97.97 gamma=89.89
Site moments in Bohr magnetons follow the coordinates.
Sites, in units of the cell vectors:
U (0.000, 0.500, 0.000)  1.42
In (0.415, 0.415, 0.676)  -0.01
Zr (0.084, 0.084, 0.317)  -0.04
Zr (0.916, 0.916, 0.683)  -0.04
In (0.585, 0.585, 0.324)  -0.01
U (0.500, 0.000, 0.000)  1.42

Results
DFT formation energy: 0.107 eV/atom

---

3.
First-principles (GGA-PBE) data for a relaxed structure of V13In2, as listed in Alexandria via LeMat-Bulk.

Unit cell a=6.750 b=6.750 c=7.890 alpha=64.67 beta=64.67 gamma=60.00
Sites, in units of the cell vectors:
In (0.361, 0.361, 0.918)
V (0.368, 0.368, 0.267)
V (0.259, 0.870, 0.613)
V (0.632, 0.632, 0.733)
V (0.004, 0.632, 0.733)
V (0.996, 0.368, 0.267)
V (0.741, 0.130, 0.387)
V (0.500, 0.500, 0.500)
V (0.741, 0.741, 0.387)
V (0.259, 0.259, 0.613)
V (0.368, 0.996, 0.267)
V (0.632, 0.004, 0.733)
V (0.130, 0.741, 0.387)
In (0.639, 0.639, 0.082)
V (0.870, 0.259, 0.613)

Results
DFT formation energy: 0.695 eV/atom

---

4.
First-principles (GGA-PBE) data for a relaxed structure of V5In, as listed in Alexandria via LeMat-Bulk.

Unit cell a=3.136 b=4.480 c=6.685 alpha=109.58 beta=90.00 gamma=90.00
Sites, in units of the cell vectors:
V (0.000, 0.664, 0.327)
V (0.500, 0.500, 0.000)
In (0.000, 0.000, 0.000)
V (0.500, 0.186, 0.372)
V (0.500, 0.814, 0.628)
V (0.000, 0.336, 0.673)

Results
DFT formation energy: 0.069 eV/atom